Material: SmP4HO12
Method: DFT, GGA-PBE
State: relaxed

abc: 7.0613 8.4840 8.7949
angles: 99.34 112.13 107.72
Sites, in units of the cell vectors:
Sm 0.0884 0.2575 0.2590
Sm 0.9116 0.7425 0.7410
P 0.0870 0.3906 0.6616
P 0.2160 0.1985 0.8948
P 0.3827 0.7149 0.4210
P 0.4248 0.8721 0.1547
P 0.5752 0.1279 0.8453
P 0.6173 0.2851 0.5790
P 0.7840 0.8015 0.1052
P 0.9130 0.6094 0.3384
H 0.4750 0.8513 0.7461
H 0.5250 0.1487 0.2539
O 0.0520 0.0332 0.7505
O 0.1105 0.5758 0.6954
O 0.1713 0.7442 0.4262
O 0.1831 0.3660 0.8503
O 0.1841 0.8029 0.0325
O 0.1865 0.3222 0.5571
O 0.2401 0.2115 0.0720
O 0.3142 0.5403 0.3002
O 0.4326 0.9337 0.8122
O 0.4454 0.2297 0.3940
O 0.4631 0.2391 0.9093
O 0.4722 0.8654 0.3442
O 0.5278 0.1346 0.6558
O 0.5369 0.7609 0.0907
O 0.5546 0.7703 0.6060
O 0.5674 0.0663 0.1878
O 0.6858 0.4597 0.6998
O 0.7599 0.7885 0.9280
O 0.8135 0.6778 0.4429
O 0.8159 0.1971 0.9675
O 0.8169 0.6340 0.1497
O 0.8287 0.2558 0.5738
O 0.8895 0.4242 0.3046
O 0.9480 0.9668 0.2495

Results
Total DFT energy (no corrections) in eV per atom: -7.250
Magnetization in μB/f.u.: 0.01